Entry 1:
Compound: PmThCdPt
Source: Alexandria
Functional: GGA-PBE
Structure: relaxed

abc: 5.247 5.247 5.247
angles: 60.00 60.00 60.00
Fractional coordinates of all 4 atoms:
Pm: 0.000 0.000 0.000
Th: 0.500 0.500 0.500
Cd: 0.250 0.250 0.250
Pt: 0.750 0.750 0.750

Values from the calculation:
The crystal system is cubic. For the calculated formation energy, the calculation gives -0.530 eV per atom.

=====

Entry 2:
Compound: Ce4DyBi5
Source: Alexandria
Functional: GGA-PBE
Structure: relaxed

abc: 12.111 12.111 12.111
angles: 158.21 148.98 38.23
Fractional coordinates of all 10 atoms:
Ce: 0.100 0.100 0.000
Ce: 0.302 0.302 0.000
Ce: 0.698 0.698 0.000
Ce: 0.900 0.900 0.000
Dy: 0.500 0.500 0.000
Bi: 0.000 0.500 0.500
Bi: 0.200 0.700 0.500
Bi: 0.403 0.903 0.500
Bi: 0.597 0.097 0.500
Bi: 0.800 0.300 0.500

Values from the calculation:
The crystal system is orthorhombic. For the calculated formation energy, the calculation gives -0.802 eV per atom.

=====

Q: What is the calculated formation energy in the second record?
A: -0.802 eV per atom

=====

Q: Which formula does entry 1 have?
A: PmThCdPt